P.
Material: CaPmCu
Method: DFT, PBE
State: relaxed

a = 4.1417 Å, b = 4.8233 Å, c = 4.8233 Å
α = 120.00°, β = 90.00°, γ = 90.00°
Positions (direct):
Ca1 0.5993 0.6667 0.3333
Cu1 0.3203 0.3333 0.6667
Pm1 0.0804 0.0000 0.0000

Output
Fermi-level density of states: 0.719 states/eV/atom
crystal system: trigonal

---

Q.
Material: CaPmCu
Method: DFT, PBE
State: relaxed

a = 7.5113 Å, b = 8.0858 Å, c = 7.5113 Å
α = 70.61°, β = 73.42°, γ = 109.39°
Positions (direct):
Ca1 0.8630 0.2443 0.4496
Cu1 0.7021 0.4631 0.1848
Pm1 0.3555 0.2590 0.5975
Cu2 0.3521 0.5369 0.7611
Pm2 0.3465 0.2410 0.1065
Ca2 0.8687 0.2557 0.9439
Pm3 0.1435 0.7410 0.9035
Pm4 0.6525 0.7590 0.8945
Ca3 0.8004 0.7443 0.3870
Cu3 0.0652 0.9631 0.5479
Cu4 0.4889 0.0369 0.8979
Ca4 0.3061 0.7557 0.3813

Output
Fermi-level density of states: 1.010 states/eV/atom
crystal system: orthorhombic

---

Most favorable first, least favorable last: Q, P

---

P.
Material: CaPmCu
Method: DFT, PBE
State: relaxed

a = 4.9771 Å, b = 4.9771 Å, c = 4.9771 Å
α = 60.00°, β = 60.00°, γ = 60.00°
Positions (direct):
Pm1 0.0000 0.0000 0.0000
Cu1 0.2500 0.2500 0.2500
Ca1 0.5000 0.5000 0.5000

Output
Fermi-level density of states: 1.517 states/eV/atom
crystal system: cubic

---

Q.
Material: CaPmCu
Method: DFT, PBE
State: relaxed

a = 3.5942 Å, b = 3.5942 Å, c = 6.9738 Å
α = 104.93°, β = 104.93°, γ = 90.00°
Positions (direct):
Pm1 0.2962 0.2962 0.5924
Ca1 0.0298 0.0298 0.0597
Cu1 0.6740 0.6740 0.3479

Output
Fermi-level density of states: 1.340 states/eV/atom
crystal system: tetragonal

---

Most favorable first, least favorable last: Q, P

---

P.
Material: CaPm2Cu2
Method: DFT, PBE
State: relaxed

a = 3.8591 Å, b = 8.1517 Å, c = 8.1517 Å
α = 90.00°, β = 90.00°, γ = 90.00°
Positions (direct):
Pm1 0.5000 0.3412 0.1588
Cu1 0.0000 0.6205 0.1205
Ca1 0.0000 0.5000 0.5000
Pm2 0.5000 0.1588 0.6588
Cu2 0.0000 0.1205 0.3795
Cu3 0.0000 0.3795 0.8795
Cu4 0.0000 0.8795 0.6205
Pm3 0.5000 0.6588 0.8412
Ca2 0.0000 0.0000 0.0000
Pm4 0.5000 0.8412 0.3412

Output
Fermi-level density of states: 1.138 states/eV/atom
crystal system: tetragonal

---

Q.
Material: CaPm2Cu2
Method: DFT, PBE
State: relaxed

a = 4.7228 Å, b = 5.1696 Å, c = 11.2278 Å
α = 97.62°, β = 90.00°, γ = 90.00°
Positions (direct):
Ca1 0.7500 0.2961 0.7653
Pm1 0.7500 0.1647 0.1116
Pm2 0.2500 0.8353 0.8884
Pm3 0.7500 0.7448 0.4958
Cu1 0.2500 0.7960 0.6357
Cu2 0.7500 0.2040 0.3643
Cu3 0.2500 0.3744 0.9948
Ca2 0.2500 0.7039 0.2347
Cu4 0.7500 0.6256 0.0052
Pm4 0.2500 0.2552 0.5042

Output
Fermi-level density of states: 0.916 states/eV/atom
crystal system: monoclinic

---

Most favorable first, least favorable last: P, Q

---

P.
Material: Ca2PmCu
Method: DFT, PBE
State: relaxed

a = 3.7954 Å, b = 6.6295 Å, c = 10.3699 Å
α = 90.00°, β = 90.00°, γ = 106.66°
Positions (direct):
Cu1 0.7490 0.4972 0.7500
Ca1 0.6378 0.2763 0.0668
Pm1 0.9184 0.8368 0.2500
Ca2 0.3622 0.7237 0.5668
Pm2 0.0816 0.1632 0.7500
Ca3 0.6378 0.2763 0.4332
Ca4 0.3622 0.7237 0.9332
Cu2 0.2510 0.5028 0.2500

Output
Fermi-level density of states: 1.384 states/eV/atom
crystal system: orthorhombic

---

Q.
Material: Ca2PmCu
Method: DFT, PBE
State: relaxed

a = 3.7094 Å, b = 3.7094 Å, c = 11.2435 Å
α = 80.51°, β = 80.51°, γ = 60.00°
Positions (direct):
Ca1 0.1084 0.1084 0.6749
Pm1 0.0000 0.0000 0.0000
Cu1 0.5000 0.5000 0.5000
Ca2 0.8916 0.8916 0.3251

Output
Fermi-level density of states: 0.989 states/eV/atom
crystal system: trigonal

---

R.
Material: Ca2PmCu
Method: DFT, PBE
State: relaxed

a = 3.5288 Å, b = 3.5288 Å, c = 9.6253 Å
α = 90.00°, β = 90.00°, γ = 90.00°
Positions (direct):
Pm1 0.5000 0.5000 0.5000
Cu1 0.5000 0.5000 0.0000
Ca1 0.0000 0.0000 0.8116
Ca2 0.0000 0.0000 0.1884

Output
Fermi-level density of states: 1.370 states/eV/atom
crystal system: tetragonal

---

Most favorable first, least favorable last: P, R, Q

---

P.
Material: CaPmCu3
Method: DFT, PBE
State: relaxed

a = 3.8733 Å, b = 4.3055 Å, c = 12.9573 Å
α = 90.00°, β = 98.60°, γ = 90.00°
Positions (direct):
Cu1 0.4774 0.2500 0.9548
Ca1 0.7969 0.2500 0.5937
Cu2 0.3341 0.7500 0.6682
Cu3 0.6659 0.2500 0.3318
Pm1 0.9298 0.7500 0.8596
Cu4 0.6172 0.7500 0.2344
Pm2 0.0702 0.2500 0.1404
Cu5 0.5226 0.7500 0.0452
Cu6 0.3828 0.2500 0.7656
Ca2 0.2031 0.7500 0.4063

Output
Fermi-level density of states: 0.469 states/eV/atom
crystal system: orthorhombic

---

Q.
Material: CaPmCu3
Method: DFT, PBE
State: relaxed

a = 4.1935 Å, b = 3.9038 Å, c = 13.2306 Å
α = 98.48°, β = 90.00°, γ = 90.00°
Positions (direct):
Cu1 0.2500 0.3834 0.7668
Cu2 0.2500 0.4766 0.9532
Ca1 0.7500 0.9307 0.8614
Pm1 0.2500 0.7977 0.5954
Cu3 0.7500 0.3307 0.6613
Cu4 0.7500 0.6166 0.2332
Ca2 0.2500 0.0693 0.1386
Cu5 0.7500 0.5234 0.0468
Pm2 0.7500 0.2023 0.4046
Cu6 0.2500 0.6693 0.3387

Output
Fermi-level density of states: 0.665 states/eV/atom
crystal system: orthorhombic

---

Most favorable first, least favorable last: P, Q

---

P.
Material: CaPm2Cu
Method: DFT, PBE
State: relaxed

a = 4.8505 Å, b = 6.3875 Å, c = 8.2101 Å
α = 90.00°, β = 90.00°, γ = 112.29°
Positions (direct):
Cu1 0.2135 0.4260 0.2500
Pm1 0.3510 0.7021 0.5381
Cu2 0.7865 0.5740 0.7500
Pm2 0.6490 0.2979 0.4619
Pm3 0.3510 0.7021 0.9619
Ca1 0.0514 0.1030 0.7500
Ca2 0.9486 0.8970 0.2500
Pm4 0.6490 0.2979 0.0381

Output
Fermi-level density of states: 1.060 states/eV/atom
crystal system: orthorhombic

---

Q.
Material: CaPm2Cu
Method: DFT, PBE
State: relaxed

a = 3.7611 Å, b = 3.7611 Å, c = 10.5646 Å
α = 79.75°, β = 79.75°, γ = 60.00°
Positions (direct):
Pm1 0.7299 0.7299 0.8103
Cu1 0.0000 0.0000 0.0000
Ca1 0.5000 0.5000 0.5000
Pm2 0.2701 0.2701 0.1897

Output
Fermi-level density of states: 1.494 states/eV/atom
crystal system: trigonal

---

Most favorable first, least favorable last: P, Q